Record 1
Material: BaTmW
Method: DFT, PBE
State: relaxed

- distance to the lowest polymorph of the same formula (eV per atom) = 0.000
- volume (Å³/cell) = 98.35

a = 5.181 Å, b = 5.181 Å, c = 5.181 Å
α = 60.00°, β = 60.00°, γ = 60.00°
Fractional coordinates of all 3 atoms:
Ba 0.000 0.000 0.000
Tm 0.250 0.250 0.250
W 0.500 0.500 0.500



Record 2
Material: BaTmZr
Method: DFT, PBE
State: relaxed

- distance to the lowest polymorph of the same formula (eV per atom) = 0.316
- volume (Å³/cell) = 105.56

a = 5.305 Å, b = 5.305 Å, c = 5.305 Å
α = 60.00°, β = 60.00°, γ = 60.00°
Fractional coordinates of all 3 atoms:
Ba 0.000 0.000 0.000
Tm 0.750 0.750 0.750
Zr 0.250 0.250 0.250



Record 3
Material: BaTmZr
Method: DFT, PBE
State: relaxed

- distance to the lowest polymorph of the same formula (eV per atom) = 0.000
- volume (Å³/cell) = 117.15

a = 5.492 Å, b = 5.492 Å, c = 5.492 Å
α = 60.00°, β = 60.00°, γ = 60.00°
Fractional coordinates of all 3 atoms:
Ba 0.000 0.000 0.000
Tm 0.500 0.500 0.500
Zr 0.250 0.250 0.250